Record 1
VASP calculation (PBE) on a relaxed Tl2GeAu5 crystal. Values from VASP.

```
&SYSTEM
  ibrav = 0, nat = 8, ntyp = 3
/
ATOMIC_SPECIES
Au 196.97 Au.upf
Ge 72.64 Ge.upf
Tl 204.38 Tl.upf
CELL_PARAMETERS angstrom
-0.041 5.105 -4.164
3.494 -2.825 -3.498
-6.029 -3.352 1.317
ATOMIC_POSITIONS angstrom
Au 2.422 -0.829 -3.860
Au 0.676 0.581 -2.114
Au -0.078 0.094 -4.790
Au 2.332 1.387 -5.685
Au 0.628 2.763 -3.980
Ge -2.044 -0.906 -5.950
Tl -0.359 -2.478 -2.991
Tl -2.482 1.720 -3.869
```

E_form, eV per atom: 0.0179
Symmetry: Cm (8)
Fermi-level density of states, states/eV/f.u.: 2.3
Raw total energy, eV per atom: -3.20
V, Å³ per atom: 25.56
Total moment, μB per formula unit: 0.00


Record 2
VASP calculation (PBE) on a relaxed Pr2NbCl crystal. Values from VASP.

```
&SYSTEM
  ibrav = 0, nat = 4, ntyp = 3
/
ATOMIC_SPECIES
Pr 140.91 Pr.upf
Nb 92.91 Nb.upf
Cl 35.45 Cl.upf
CELL_PARAMETERS angstrom
-0.324 -3.261 -0.592
2.705 -1.882 -0.477
1.292 -3.692 10.267
ATOMIC_POSITIONS angstrom
Pr 1.152 -3.137 7.284
Pr 2.521 -5.698 1.914
Nb 0.000 0.000 0.000
Cl 1.836 -4.417 4.599
```

Symmetry: R-3m (166)
Raw formation energy, eV per atom: -0.079
Fermi-level density of states, states/eV/f.u.: 3.3
Raw total energy, eV per atom: -5.45
V, Å³ per atom: 25.97
Total moment, μB per formula unit: 1.16


Record 3
VASP calculation (PBE) on a relaxed AcTb9Pm2 crystal. Values from VASP.

```
&SYSTEM
  ibrav = 0, nat = 12, ntyp = 3
/
ATOMIC_SPECIES
Tb 158.93 Tb.upf
Pm 145.00 Pm.upf
Ac 227.00 Ac.upf
CELL_PARAMETERS angstrom
-2.869 3.916 1.579
-2.566 -3.133 3.108
10.064 2.861 11.192
ATOMIC_POSITIONS angstrom
Tb 7.048 0.802 10.819
Tb 0.450 -1.074 3.481
Tb -2.718 0.392 2.344
Tb 6.897 4.326 10.054
Tb 3.749 -0.136 7.150
Tb 0.298 2.451 2.717
Tb 0.665 1.353 6.105
Tb 3.964 2.291 9.774
Tb 3.597 3.389 6.386
Pm 3.372 0.958 3.750
Pm 6.692 1.902 7.442
Ac 0.000 0.000 0.000
```

E_form, eV per atom: 0.0301
Symmetry: P4/mmm (123)
Fermi-level density of states, states/eV/f.u.: 17.9
Raw total energy, eV per atom: -4.58
V, Å³ per atom: 33.27
Total moment, μB per formula unit: 0.00


Record 4
VASP calculation (PBE) on a relaxed InCuSe2 crystal. Values from VASP.

```
&SYSTEM
  ibrav = 0, nat = 4, ntyp = 3
/
ATOMIC_SPECIES
Se 78.96 Se.upf
Cu 63.55 Cu.upf
In 114.82 In.upf
CELL_PARAMETERS angstrom
-2.171 7.212 1.182
-4.180 4.052 4.923
5.324 -5.230 -1.560
ATOMIC_POSITIONS angstrom
Se -1.016 2.227 3.208
Se 0.000 0.000 0.000
Cu -3.175 5.632 3.053
In -0.011 3.807 1.338
```

Symmetry: I-4m2 (119)
Raw formation energy, eV per atom: 0.058
Fermi-level density of states, states/eV/f.u.: 2.7
Raw total energy, eV per atom: -3.39
V, Å³ per atom: 25.04
Total moment, μB per formula unit: 0.00


Record 5
VASP calculation (PBE) on a relaxed RuPt2 crystal. Values from VASP.

```
&SYSTEM
  ibrav = 0, nat = 12, ntyp = 2
/
ATOMIC_SPECIES
Pt 195.08 Pt.upf
Ru 101.07 Ru.upf
CELL_PARAMETERS angstrom
3.911 0.000 0.000
0.000 3.911 0.000
-1.955 -1.955 11.834
ATOMIC_POSITIONS angstrom
Pt 1.955 0.000 3.928
Pt 0.000 0.000 9.845
Pt 1.955 0.000 0.008
Pt 1.955 1.955 5.909
Pt 1.955 0.000 7.906
Pt 1.955 1.955 1.989
Pt 1.955 0.000 11.826
Pt 0.000 0.000 5.925
Ru 0.000 1.955 3.847
Ru 0.000 0.000 2.070
Ru 0.000 1.955 7.987
Ru 1.955 1.955 9.764
```

E_form, eV per atom: 0.0266
Symmetry: I4_1/amd (141)
Fermi-level density of states, states/eV/f.u.: 4.4
Raw total energy, eV per atom: -7.09
V, Å³ per atom: 15.08
Total moment, μB per formula unit: 0.00


Record 6
VASP calculation (PBE) on a relaxed PmNdYSe3 crystal. Values from VASP.

```
&SYSTEM
  ibrav = 0, nat = 12, ntyp = 4
/
ATOMIC_SPECIES
Se 78.96 Se.upf
Pm 145.00 Pm.upf
Nd 144.24 Nd.upf
Y 88.91 Y.upf
CELL_PARAMETERS angstrom
4.061 0.000 0.000
0.000 7.256 -0.110
0.000 -2.166 10.601
ATOMIC_POSITIONS angstrom
Se 3.046 0.986 5.259
Se 1.015 4.105 5.231
Se 1.015 1.511 8.694
Se 3.046 3.579 1.797
Se 3.046 0.054 1.721
Se 1.015 5.036 8.770
Pm 3.046 3.326 7.313
Pm 1.015 1.764 3.177
Nd 1.015 5.400 0.520
Nd 3.046 -0.310 9.970
Y 1.015 -0.477 6.626
Y 3.046 5.567 3.865
```

Symmetry: P2_1/m (11)
Raw formation energy, eV per atom: -1.756
Fermi-level density of states, states/eV/f.u.: 3.6
Raw total energy, eV per atom: -6.16
V, Å³ per atom: 25.95
Total moment, μB per formula unit: 0.00